# 1
Mg2IrBr | GGA-PBE | optimized geometry

a = 3.107 Å, b = 3.107 Å, c = 9.455 Å
α = 90.00°, β = 90.00°, γ = 113.19°
Fractional coordinates of all 4 atoms:
Mg 0.000 0.000 0.000
Mg 0.500 0.500 0.286
Ir 0.000 0.000 0.486
Br 0.500 0.500 0.803

Output
E above lowest polymorph   0.750 eV/atom
D(E_F)   3.2 states/eV per cell
Space-group type   No. 35
Size of the total moment   0.306 μB per cell
Raw formation energy   0.21 eV/atom

# 2
BaCdGa3 | GGA-PBE | optimized geometry

a = 6.084 Å, b = 6.084 Å, c = 6.084 Å
α = 90.00°, β = 90.00°, γ = 90.00°
Fractional coordinates of all 5 atoms:
Ba 0.000 0.000 0.000
Cd 0.500 0.500 0.500
Ga 0.000 0.000 0.500
Ga 0.000 0.500 0.000
Ga 0.500 0.000 0.000

Output
Energy of formation   0.93 eV per atom
D(E_F)   13.4 states/eV per cell
Space-group type   No. 221
Size of the total moment   0.000 μB per cell

# 3
KTbTe2Au | GGA-PBE | optimized geometry

a = 8.464 Å, b = 4.864 Å, c = 8.424 Å
α = 90.00°, β = 96.75°, γ = 90.00°
Fractional coordinates of all 10 atoms:
K 0.000 0.127 0.250
K 0.000 0.873 0.750
Tb 0.500 0.496 0.750
Tb 0.500 0.504 0.250
Te 0.246 0.351 0.972
Te 0.246 0.649 0.472
Te 0.754 0.351 0.528
Te 0.754 0.649 0.028
Au 0.500 0.000 0.000
Au 0.500 0.000 0.500

Output
D(E_F)   5.1 states/eV per cell
Space-group type   No. 13
Size of the total moment   0.000 μB per cell
Raw formation energy   -0.88 eV/atom

# 4
AcLaNpN3 | GGA-PBE | optimized geometry

a = 7.928 Å, b = 3.798 Å, c = 8.523 Å
α = 90.00°, β = 97.81°, γ = 90.00°
Fractional coordinates of all 12 atoms:
Ac 0.169 0.250 0.147
Ac 0.831 0.750 0.853
La 0.379 0.750 0.834
La 0.621 0.250 0.166
Np 0.057 0.250 0.585
Np 0.943 0.750 0.415
N 0.099 0.250 0.841
N 0.202 0.750 0.566
N 0.392 0.750 0.115
N 0.608 0.250 0.885
N 0.798 0.250 0.434
N 0.901 0.750 0.159

Output
D(E_F)   5.2 states/eV per cell
Space-group type   No. 11
Size of the total moment   2.235 μB per cell
Raw formation energy   -0.93 eV/atom